[1]
A relaxed structure of Pm2PtO4, computed with GGA-PBE.

Cell lengths 6.9868, 6.9868, 5.6710 Å; angles 90.00, 90.00, 47.92 degrees
Last column: nearest neighbours and their distance in Å.
Element x y z (fractional)
Pm  0.1582  0.1582  0.0000  6 O 2.29-2.48
Pm  0.3418  0.3418  0.5000  6 O 2.29-2.48
Pm  0.6582  0.6582  0.5000  6 O 2.29-2.48
Pm  0.8418  0.8418  0.0000  6 O 2.29-2.48
Pt  0.0000  0.0000  0.5000  4 O 2.08
Pt  0.5000  0.5000  0.0000  4 O 2.08
O  0.0087  0.4913  0.7500  4 Pm 2.29-2.35
O  0.1794  0.8206  0.8207  2 Pt 2.08
O  0.3206  0.6794  0.3207  2 Pt 2.08
O  0.4913  0.0087  0.2500  4 Pm 2.29-2.35
O  0.5087  0.9913  0.7500  4 Pm 2.29-2.35
O  0.6794  0.3206  0.6793  2 Pt 2.08
O  0.8206  0.1794  0.1793  2 Pt 2.08
O  0.9913  0.5087  0.2500  4 Pm 2.29-2.35

Summary:
The calculation puts the energy at -7.60 eV per atom. For the calculated volume, the calculation gives 14.676 Å³/atom. For the uncorrected formation energy, the calculation gives -2.551 eV per atom. Its space-group type is No. 64.



[2]
A relaxed structure of Pm6PtO12, computed with GGA-PBE.

Cell lengths 6.6774, 6.6774, 6.6774 Å; angles 98.55, 98.55, 98.55 degrees
Last column: nearest neighbours and their distance in Å.
Element x y z (fractional)
Pm  0.1113  0.8081  0.6437  6 O 2.29-2.50
Pm  0.1919  0.3564  0.8887  6 O 2.29-2.50
Pm  0.3564  0.8887  0.1919  6 O 2.29-2.50
Pm  0.6436  0.1113  0.8081  6 O 2.29-2.50
Pm  0.8081  0.6436  0.1113  6 O 2.29-2.50
Pm  0.8887  0.1919  0.3564  6 O 2.29-2.50
Pt  0.5000  0.5000  0.5000  6 O 2.02
O  0.0601  0.9079  0.3223  4 Pm 2.29-2.37
O  0.0921  0.6777  0.9399  4 Pm 2.29-2.37
O  0.2040  0.4353  0.5361  1 Pt 2.02
O  0.3223  0.0601  0.9079  4 Pm 2.29-2.37
O  0.4353  0.5361  0.2040  1 Pt 2.02
O  0.4639  0.7960  0.5647  1 Pt 2.02
O  0.5361  0.2040  0.4353  1 Pt 2.02
O  0.5647  0.4639  0.7960  1 Pt 2.02
O  0.6777  0.9399  0.0921  4 Pm 2.29-2.37
O  0.7960  0.5647  0.4639  1 Pt 2.02
O  0.9079  0.3223  0.0601  4 Pm 2.29-2.37
O  0.9399  0.0921  0.6777  4 Pm 2.29-2.37

Summary:
The calculation puts the energy at -7.73 eV per atom. For the calculated volume, the calculation gives 15.087 Å³/atom. For the uncorrected formation energy, the calculation gives -2.779 eV per atom. Its space-group type is No. 148.



The highest calculated volume belongs to which entry?
Pm6PtO12